Entry 1:
Y4Zn3Co | PBE | relaxed

## Properties
Its formation energy is -301 meV/atom.

Cell lengths 3.5118, 3.5118, 14.2234 Å; angles 90.00, 90.00, 90.00 degrees
Closest atoms and distances in Å follow each position.
Sites, in units of the cell vectors:
Y (0.0000, 0.0000, 0.1140)  4 Co 2.97, 4 Zn 3.11, 1 Y 3.24
Zn (0.5000, 0.5000, 0.7548)  8 Y 3.07-3.11
Zn (0.5000, 0.5000, 0.5000)  8 Y 3.08
Y (0.0000, 0.0000, 0.6281)  8 Zn 3.07-3.08
Y (0.0000, 0.0000, 0.3719)  8 Zn 3.07-3.08
Co (0.5000, 0.5000, 0.0000)  8 Y 2.97
Zn (0.5000, 0.5000, 0.2452)  8 Y 3.07-3.11
Y (0.0000, 0.0000, 0.8860)  4 Co 2.97, 4 Zn 3.11, 1 Y 3.24



Entry 2:
Y3Zn9Co2 | PBE | relaxed

## Properties
Its formation energy is -277 meV/atom.

Cell lengths 4.2926, 7.9418, 7.9418 Å; angles 70.47, 74.32, 74.32 degrees
Closest atoms and distances in Å follow each position.
Sites, in units of the cell vectors:
Zn (0.0000, 0.5000, 0.5000)  4 Zn 2.51, 4 Co 2.68
Zn (0.3448, 0.2969, 0.0135)  4 Zn 2.52-2.82, 1 Co 2.54
Co (0.5000, 0.3255, 0.6745)  8 Zn 2.54-2.68, 2 Y 2.84
Y (0.3082, 0.6918, 0.6918)  2 Co 2.84, 10 Zn 3.07-3.18
Y (0.6918, 0.3082, 0.3082)  2 Co 2.84, 10 Zn 3.07-3.18
Zn (0.1220, 0.5983, 0.1577)  3 Zn 2.51-2.52, 2 Co 2.65
Zn (0.1220, 0.1577, 0.5983)  3 Zn 2.51-2.52, 2 Co 2.65
Y (0.0000, 0.0000, 0.0000)  12 Zn 2.97-3.15
Zn (0.8780, 0.4017, 0.8423)  3 Zn 2.51-2.52, 2 Co 2.65
Zn (0.6552, 0.9865, 0.7031)  4 Zn 2.52-2.82, 1 Co 2.54
Zn (0.3448, 0.0135, 0.2969)  4 Zn 2.52-2.82, 1 Co 2.54
Zn (0.8780, 0.8423, 0.4017)  3 Zn 2.51-2.52, 2 Co 2.65
Co (0.5000, 0.6745, 0.3255)  8 Zn 2.54-2.68, 2 Y 2.84
Zn (0.6552, 0.7031, 0.9865)  4 Zn 2.52-2.82, 1 Co 2.54



Entry 3:
YZnCo2 | PBE | relaxed

## Properties
Its formation energy is 396 meV/atom.

Cell lengths 7.7554, 7.7554, 7.7554 Å; angles 23.78, 23.78, 23.78 degrees
Closest atoms and distances in Å follow each position.
Sites, in units of the cell vectors:
Co (0.4908, 0.4908, 0.4908)  3 Zn 2.49, 3 Y 2.79
Y (0.2500, 0.2500, 0.2500)  6 Co 2.79
Co (0.0092, 0.0092, 0.0092)  3 Zn 2.49, 3 Y 2.79
Zn (0.7500, 0.7500, 0.7500)  6 Co 2.49



Entry 4:
YZnCo2 | PBE | relaxed

## Properties
Its formation energy is 29 meV/atom.

Cell lengths 4.1492, 4.1461, 3.5168 Å; angles 90.00, 90.00, 90.00 degrees
Closest atoms and distances in Å follow each position.
Sites, in units of the cell vectors:
Co (0.5000, 0.5000, 0.0000)  4 Y 2.72, 4 Zn 2.72, 4 Co 2.93
Zn (0.0000, 0.5000, 0.5000)  8 Co 2.72, 4 Y 2.93
Y (0.5000, 0.0000, 0.5000)  8 Co 2.72, 4 Zn 2.93
Co (0.0000, 0.0000, 0.0000)  4 Zn 2.72, 4 Y 2.72, 4 Co 2.93



Entry 5:
Y2ZnCo | PBE | relaxed

## Properties
Its formation energy is 175 meV/atom.

Cell lengths 7.5173, 7.5173, 6.2279 Å; angles 52.88, 52.88, 90.00 degrees
Closest atoms and distances in Å follow each position.
Sites, in units of the cell vectors:
Y (0.8750, 0.8336, 0.7500)  2 Co 2.58
Y (0.1664, 0.6250, 0.2500)  2 Co 2.58
Y (0.3750, 0.4164, 0.7500)  2 Co 2.58
Co (0.5000, 0.5000, 0.0000)  4 Y 2.58
Zn (0.7500, 0.2500, 0.5000)  4 Y 3.00, 2 Co 3.25
Co (0.2500, 0.7500, 0.5000)  4 Y 2.58
Y (0.5836, 0.1250, 0.2500)  2 Co 2.58
Zn (0.0000, 0.0000, 0.0000)  4 Y 3.00, 2 Co 3.25



Entry 6:
YZnCo | PBE | relaxed

## Properties
Its formation energy is -193 meV/atom.

Cell lengths 4.2063, 4.2063, 3.6262 Å; angles 90.00, 90.00, 120.00 degrees
Closest atoms and distances in Å follow each position.
Sites, in units of the cell vectors:
Co (0.0000, 0.0000, 0.8332)  3 Zn 2.43
Y (0.6667, 0.3333, 0.3335)  6 Co 3.03, 6 Zn 3.03
Zn (0.3333, 0.6667, 0.8334)  3 Co 2.43



Entry 7:
YZn2Co | PBE | relaxed

## Properties
Its formation energy is -39 meV/atom.

Cell lengths 3.8515, 3.8536, 6.0159 Å; angles 50.29, 90.00, 90.00 degrees
Closest atoms and distances in Å follow each position.
Sites, in units of the cell vectors:
Co (0.5000, 0.5000, 0.5000)  4 Y 2.72, 8 Zn 3.01
Zn (0.0000, 0.0000, 0.0000)  4 Zn 2.72, 4 Y 3.01, 4 Co 3.01
Y (0.0000, 0.0000, 0.5000)  4 Co 2.72, 8 Zn 3.01
Zn (0.5000, 0.5000, 0.0000)  4 Zn 2.72, 4 Co 3.01, 4 Y 3.01



Entry 8:
YZn2Co2 | PBE | relaxed

## Properties
For the polymorph energy (0 for the lowest one), the calculation gives 126.8 meV per atom. Its formation energy is -27 meV/atom.

Cell lengths 7.0761, 7.0761, 2.9850 Å; angles 90.00, 90.00, 90.00 degrees
Closest atoms and distances in Å follow each position.
Sites, in units of the cell vectors:
Zn (0.1441, 0.6441, 0.5000)  6 Co 2.55-2.57
Zn (0.8559, 0.3559, 0.5000)  6 Co 2.55-2.57
Co (0.1473, 0.3527, 0.0000)  6 Zn 2.55-2.57, 2 Y 2.70
Y (0.5000, 0.5000, 0.0000)  4 Co 2.70, 2 Y 2.99
Y (0.0000, 0.0000, 0.0000)  4 Co 2.70, 2 Y 2.99
Zn (0.3559, 0.1441, 0.5000)  6 Co 2.55-2.57
Zn (0.6441, 0.8559, 0.5000)  6 Co 2.55-2.57
Co (0.6473, 0.1473, 0.0000)  6 Zn 2.55-2.57, 2 Y 2.70
Co (0.8527, 0.6473, 0.0000)  6 Zn 2.55-2.57, 2 Y 2.70
Co (0.3527, 0.8527, 0.0000)  6 Zn 2.55-2.57, 2 Y 2.70



Entry 9:
YZn2Co | PBE | relaxed

## Properties
Its formation energy is -79 meV/atom.

Cell lengths 3.7334, 3.7640, 5.4401 Å; angles 69.93, 90.00, 90.00 degrees
Closest atoms and distances in Å follow each position.
Sites, in units of the cell vectors:
Zn (0.0000, 0.0345, 0.0586)  1 Co 2.68, 4 Zn 2.79-2.81
Co (0.0000, 0.2951, 0.5333)  3 Zn 2.41-2.68
Y (0.5000, 0.7258, 0.6746)  4 Co 2.75, 3 Zn 2.86-2.94
Zn (0.5000, 0.4445, 0.2335)  2 Co 2.41



Entry 10:
Y2ZnCo | PBE | relaxed

## Properties
Its formation energy is 51 meV/atom.

Cell lengths 3.9390, 3.9420, 5.9032 Å; angles 90.00, 90.00, 90.00 degrees
Closest atoms and distances in Å follow each position.
Sites, in units of the cell vectors:
Y (0.5000, 0.5000, 0.2999)  2 Co 2.79-3.11, 4 Zn 2.92
Zn (0.0000, 0.0000, 0.4500)  6 Y 2.79-3.11
Co (0.5000, 0.5000, 0.8268)  6 Y 2.79-3.11
Y (0.0000, 0.0000, 0.9232)  2 Zn 2.79-3.11, 4 Co 2.84



Entry 11:
YZnCo | PBE | relaxed

## Properties
Its formation energy is -21 meV/atom.

Cell lengths 5.4332, 5.4332, 5.4299 Å; angles 86.14, 124.80, 119.80 degrees
Closest atoms and distances in Å follow each position.
Sites, in units of the cell vectors:
Zn (0.5000, 0.5000, 0.5000)  2 Co 2.48, 2 Zn 2.73
Co (0.7499, 0.0118, 0.7617)  2 Zn 2.48, 2 Co 2.52
Co (0.2501, 0.9882, 0.2383)  2 Zn 2.48, 2 Co 2.52
Zn (0.0000, 0.0000, 0.5000)  2 Co 2.48, 2 Zn 2.73
Y (0.2500, 0.6292, 0.8792)  3 Co 2.85-2.88, 4 Zn 3.02
Y (0.7500, 0.3708, 0.1208)  3 Co 2.85-2.88, 4 Zn 3.02



Entry 12:
YZnCo | PBE | relaxed

## Properties
Its formation energy is -118 meV/atom.

Cell lengths 5.3698, 5.3695, 3.3274 Å; angles 71.96, 71.95, 36.10 degrees
Closest atoms and distances in Å follow each position.
Sites, in units of the cell vectors:
Y (0.6583, 0.6583, 0.3417)  5 Zn 2.84-3.08, 5 Co 2.93-3.08
Zn (0.3643, 0.3643, 0.6357)  4 Co 2.59, 1 Y 2.84
Co (0.9774, 0.9774, 0.0226)  4 Zn 2.59



Number 1: D(E_F) 7.464 states/eV/cell. Number 2: D(E_F) 9.375 states/eV/cell. Number 3: D(E_F) 3.747 states/eV/cell. Number 4: D(E_F) 5.876 states/eV/cell. Number 5: D(E_F) 9.199 states/eV/cell. Number 6: D(E_F) 2.282 states/eV/cell. Number 7: D(E_F) 3.052 states/eV/cell. Number 8: D(E_F) 5.259 states/eV/cell. Number 9: D(E_F) 2.166 states/eV/cell. Number 10: D(E_F) 2.991 states/eV/cell. Number 11: D(E_F) 4.316 states/eV/cell. Number 12: D(E_F) 2.047 states/eV/cell.